The following is a DFT calculation (PBE-GGA) of crystalline Na2Tm2IrO6 at its relaxed geometry.

Results
ΔE_f (raw) = -2.22 eV/atom
DOS at the Fermi energy = 0.589 states/eV per atom
calculated volume = 156.4 Å³/f.u.
electronic total energy = -6.7804 eV per atom

Cell lengths 5.645, 5.645, 5.886 Å; angles 97.76, 97.76, 120.00 degrees
Fractional positions:
Na (0.850, 0.150, 0.000)
Na (0.150, 0.850, 0.000)
Tm (0.338, 0.662, 0.500)
Tm (0.662, 0.338, 0.500)
Ir (0.000, 0.000, 0.500)
O (0.748, 0.748, 0.703)
O (0.046, 0.364, 0.693)
O (0.252, 0.252, 0.297)
O (0.364, 0.046, 0.693)
O (0.954, 0.636, 0.307)
O (0.636, 0.954, 0.307)